[1]
This record from Alexandria via LeMat-Bulk describes a relaxed LaRhAu2 crystal. The functional is PBE-GGA.

abc: 7.192 7.192 5.344
angles: 99.92 99.92 135.74
Sites, in units of the cell vectors:
La: 0.144 0.856 0.750
La: 0.856 0.144 0.250
Rh: 0.248 0.752 0.250
Rh: 0.752 0.248 0.750
Au: 0.248 0.410 0.908
Au: 0.410 0.248 0.408
Au: 0.590 0.752 0.592
Au: 0.752 0.590 0.092

Computed properties:
N(E_F) in states/eV/cell: 3.5
DFT total energy in eV for the cell shown: -42.752
ΔE_f in meV/atom: -635.6

[2]
This record from Alexandria via LeMat-Bulk describes a relaxed LaRh3Au crystal. The functional is PBE-GGA.

abc: 4.897 4.897 4.897
angles: 90.00 90.00 90.00
Sites, in units of the cell vectors:
La: 0.000 0.000 0.000
Rh: 0.000 0.500 0.500
Rh: 0.500 0.000 0.500
Rh: 0.500 0.500 0.000
Au: 0.500 0.500 0.500

Computed properties:
N(E_F) in states/eV/cell: 9.8
DFT total energy in eV for the cell shown: -27.202
ΔE_f in meV/atom: 611.4

[3]
This record from Alexandria via LeMat-Bulk describes a relaxed La6RhAu3 crystal. The functional is PBE-GGA.

abc: 11.446 4.080 13.907
angles: 90.00 111.41 90.00
Sites, in units of the cell vectors:
La: 0.024 0.250 0.378
La: 0.074 0.250 0.897
La: 0.251 0.750 0.325
La: 0.327 0.750 0.787
La: 0.359 0.750 0.114
La: 0.412 0.250 0.581
La: 0.588 0.750 0.419
La: 0.641 0.250 0.886
La: 0.673 0.250 0.213
La: 0.749 0.250 0.675
La: 0.926 0.750 0.103
La: 0.976 0.750 0.622
Rh: 0.440 0.250 0.278
Rh: 0.560 0.750 0.722
Au: 0.143 0.250 0.143
Au: 0.187 0.750 0.541
Au: 0.392 0.250 0.958
Au: 0.608 0.750 0.042
Au: 0.813 0.250 0.459
Au: 0.857 0.750 0.857

Computed properties:
N(E_F) in states/eV/cell: 23.0
DFT total energy in eV for the cell shown: -105.237
ΔE_f in meV/atom: -587.0

[4]
This record from Alexandria via LeMat-Bulk describes a relaxed LaRh3Au crystal. The functional is PBE-GGA.

abc: 4.850 4.850 4.850
angles: 90.00 90.00 90.00
Sites, in units of the cell vectors:
La: 0.000 0.000 0.000
Rh: 0.000 0.000 0.500
Rh: 0.000 0.500 0.000
Rh: 0.500 0.000 0.000
Au: 0.500 0.500 0.500

Computed properties:
N(E_F) in states/eV/cell: 3.3
DFT total energy in eV for the cell shown: -24.889
ΔE_f in meV/atom: 1074.1

[5]
This record from Alexandria via LeMat-Bulk describes a relaxed La5RhAu crystal. The functional is PBE-GGA.

abc: 7.130 7.130 11.183
angles: 109.51 109.51 63.64
Sites, in units of the cell vectors:
La: 0.051 0.949 0.750
La: 0.052 0.391 0.644
La: 0.239 0.550 0.990
La: 0.391 0.052 0.144
La: 0.450 0.761 0.510
La: 0.550 0.239 0.490
La: 0.609 0.948 0.856
La: 0.761 0.450 0.010
La: 0.948 0.609 0.356
La: 0.949 0.051 0.250
Rh: 0.000 0.000 0.000
Rh: 0.000 0.000 0.500
Au: 0.461 0.539 0.750
Au: 0.539 0.461 0.250

Computed properties:
N(E_F) in states/eV/cell: 15.6
DFT total energy in eV for the cell shown: -75.470
ΔE_f in meV/atom: -352.7

[6]
This record from Alexandria via LeMat-Bulk describes a relaxed La3RhAu crystal. The functional is PBE-GGA.

abc: 6.006 6.838 8.260
angles: 71.31 81.97 64.92
Sites, in units of the cell vectors:
La: 0.051 0.154 0.145
La: 0.317 0.208 0.668
La: 0.383 0.473 0.228
La: 0.617 0.527 0.772
La: 0.683 0.792 0.332
La: 0.949 0.846 0.855
Rh: 0.420 0.840 0.969
Rh: 0.580 0.160 0.031
Au: 0.161 0.752 0.502
Au: 0.839 0.248 0.498

Computed properties:
N(E_F) in states/eV/cell: 10.7
DFT total energy in eV for the cell shown: -57.139
ΔE_f in meV/atom: -631.7

Repeat the second record exactly.
This record from Alexandria via LeMat-Bulk describes a relaxed LaRh3Au crystal. The functional is PBE-GGA.

abc: 4.897 4.897 4.897
angles: 90.00 90.00 90.00
Sites, in units of the cell vectors:
La: 0.000 0.000 0.000
Rh: 0.000 0.500 0.500
Rh: 0.500 0.000 0.500
Rh: 0.500 0.500 0.000
Au: 0.500 0.500 0.500

Computed properties:
N(E_F) in states/eV/cell: 9.8
DFT total energy in eV for the cell shown: -27.202
ΔE_f in meV/atom: 611.4

- Which value of ΔE_f does entry 3 give?
  -587.0 meV/atom

- What is the DFT total energy in the sixth record?
  -57.139 eV for the cell shown